Zr2ScBPb | the Alexandria database | GGA-PBE | relaxed; energy of formation = -0.414 eV per atom; N(E_F) = 2.82 states/eV/cell; space-group type = P4/mmm (123)
1.0
-2.3061 1.0387 -3.9514
3.8024 -1.1143 -2.5120
-1.4824 -4.4011 -0.2917
Pb Sc B Zr
1 1 1 2
direct
0.5000 0.5000 0.5000
0.0000 0.0000 0.5000
0.0000 0.0000 0.0000
0.0000 0.5000 0.0000
0.5000 0.0000 0.0000

***

BPb2Se4 | the Alexandria database | GGA-PBE | relaxed; formation energy from raw total energies = -0.2845 eV per atom; N(E_F) = 2.74 states/eV/cell; space-group type = P2_1/m (11)
1.0
6.9335 0.0000 -0.0863
0.0000 5.9492 0.0000
-2.6346 0.0000 9.1723
B Pb Se
2 4 8
direct
0.2872 0.7500 0.2126
0.7128 0.2500 0.7874
0.7670 0.7500 0.0595
0.2330 0.2500 0.9405
0.2443 0.2500 0.4387
0.7557 0.7500 0.5613
0.5136 0.5046 0.2817
0.1623 0.7500 0.9907
0.8377 0.2500 0.0093
0.5136 0.9954 0.2817
0.9188 0.2500 0.6669
0.4864 0.0046 0.7183
0.4864 0.4954 0.7183
0.0812 0.7500 0.3331

***

B2PbSe2 | the Alexandria database | GGA-PBE | relaxed; formation energy from raw total energies = 0.9702 eV per atom; N(E_F) = 3.89 states/eV/cell; space-group type = P4/mbm (127)
1.0
7.1144 0.0000 0.0000
0.0000 7.1144 0.0000
0.0000 0.0000 3.6313
Pb B Se
2 4 4
direct
0.0000 0.0000 0.0000
0.5000 0.5000 0.0000
0.4202 0.9202 0.0000
0.9202 0.5798 0.0000
0.5798 0.0798 0.0000
0.0798 0.4202 0.0000
0.1720 0.6720 0.5000
0.6720 0.8280 0.5000
0.8280 0.3280 0.5000
0.3280 0.1720 0.5000

***

B2PbSe | the Alexandria database | GGA-PBE | relaxed; formation energy from raw total energies = 1.7126 eV per atom; N(E_F) = 2.83 states/eV/cell; space-group type = Fm-3m (225)
1.0
0.0000 3.2352 3.2352
3.2352 0.0000 3.2352
3.2352 3.2352 0.0000
Pb B Se
1 2 1
direct
0.5000 0.5000 0.5000
0.2500 0.2500 0.2500
0.7500 0.7500 0.7500
0.0000 0.0000 0.0000

***

BPbSe3 | the Alexandria database | GGA-PBE | relaxed; formation energy from raw total energies = 0.3450 eV per atom; N(E_F) = 2.38 states/eV/cell; space-group type = Pm-3m (221)
1.0
-2.2331 -1.4237 -3.8373
3.4707 -2.9756 -0.9158
-2.1693 -3.2950 2.4850
Pb B Se
1 1 3
direct
0.5000 0.5000 0.5000
0.0000 0.0000 0.0000
0.0000 0.5000 0.0000
0.0000 0.0000 0.5000
0.5000 0.0000 0.0000

***

B3PbSe | the Alexandria database | GGA-PBE | relaxed; formation energy from raw total energies = 2.3876 eV per atom; N(E_F) = 4.16 states/eV/cell; space-group type = Pm-3m (221)
1.0
4.6772 0.0000 0.0000
0.0000 4.6772 0.0000
0.0000 0.0000 4.6772
Pb B Se
1 3 1
direct
0.0000 0.0000 0.0000
0.0000 0.5000 0.0000
0.0000 0.0000 0.5000
0.5000 0.0000 0.0000
0.5000 0.5000 0.5000

***

B2PbSe2 | the Alexandria database | GGA-PBE | relaxed; formation energy from raw total energies = 0.7888 eV per atom; N(E_F) = 2.25 states/eV/cell; space-group type = I4/mmm (139)
1.0
-3.1600 -3.1674 1.5131
3.3472 -2.1056 2.5827
-0.7575 -0.3827 4.9885
Pb B Se
1 2 2
direct
0.0000 0.0000 0.0000
0.3839 0.3839 0.2322
0.6161 0.6161 0.7678
0.7500 0.2500 0.5000
0.2500 0.7500 0.5000

***

BPbSe3 | the Alexandria database | GGA-PBE | relaxed; formation energy from raw total energies = 1.4211 eV per atom; N(E_F) = 4.79 states/eV/cell; space-group type = Pm-3m (221)
1.0
5.4641 0.0000 0.0000
0.0000 5.4641 0.0000
0.0000 0.0000 5.4641
Pb B Se
1 1 3
direct
0.0000 0.0000 0.0000
0.5000 0.5000 0.5000
0.0000 0.5000 0.0000
0.0000 0.0000 0.5000
0.5000 0.0000 0.0000

***

| no. | energy (eV/atom) | ρ (g cm⁻³) |
| --- | --- | --- |
| 1 | -7.1771 | 7.2 |
| 2 | -4.2891 | 6.5 |
| 3 | -3.8363 | 7.0 |
| 4 | -3.4243 | 7.5 |
| 5 | -3.8228 | 7.5 |
| 6 | -3.0575 | 5.2 |
| 7 | -4.0177 | 7.6 |
| 8 | -2.7468 | 4.6 |